ZnSb2Te after structural relaxation. Source: Alexandria via LeMat-Bulk, functional PBE.

Summary:
volume	25.5	A^3/atom
space-group type	No. 225
total DFT energy (no corrections)	-2.855	eV per atom
energy above the most stable polymorph in this dataset	460	meV/atom

The structure in POSCAR format:
```
ZnSb2Te
1.0
-0.763 -4.119 3.158
-3.921 -3.350 -0.960
1.050 -4.847 -1.711
Te Sb Zn
1 2 1
Cartesian
-1.817 -6.158 0.243
-0.909 -3.079 0.122
-2.726 -9.237 0.365
0.000 0.000 0.000
```

=====

ZnSb2Te after structural relaxation. Source: Alexandria via LeMat-Bulk, functional PBE.

Summary:
volume	27.6	A^3/atom
space-group type	No. 123
total DFT energy (no corrections)	-3.157	eV per atom
energy above the most stable polymorph in this dataset	157	meV/atom

The structure in POSCAR format:
```
ZnSb2Te
1.0
-1.561 2.357 3.271
0.614 -3.328 2.691
5.450 1.965 1.186
Sb Zn Te
2 1 1
Cartesian
0.207 -0.240 3.129
0.682 0.246 0.148
2.931 0.742 3.722
3.407 1.229 0.741
```

=====

ZnSb2Te after structural relaxation. Source: Alexandria via LeMat-Bulk, functional PBE.

Summary:
volume	26.3	A^3/atom
space-group type	No. 99
total DFT energy (no corrections)	-2.904	eV per atom
energy above the most stable polymorph in this dataset	410	meV/atom

The structure in POSCAR format:
```
ZnSb2Te
1.0
3.358 0.000 0.000
0.000 3.358 0.000
0.000 0.000 9.342
Sb Zn Te
2 1 1
Cartesian
0.000 0.000 9.057
1.679 1.679 1.977
1.679 1.679 7.076
0.000 0.000 5.246
```

=====

Zn4SbTe after structural relaxation. Source: Alexandria via LeMat-Bulk, functional PBE.

Summary:
volume	20.0	A^3/atom
space-group type	No. 216
total DFT energy (no corrections)	-1.847	eV per atom

The structure in POSCAR format:
```
Zn4SbTe
1.0
0.000 3.917 3.917
3.917 0.000 3.917
3.917 3.917 0.000
Zn Te Sb
4 1 1
Cartesian
4.894 2.939 4.894
4.894 4.894 2.939
2.939 2.939 2.939
2.939 4.894 4.894
0.000 0.000 0.000
5.875 5.875 5.875
```